Entry 1:
A geometry-optimized HfCoSbI2 structure, computed with PBE.

Values from the calculation:
Uncorrected formation energy in eV/atom: 0.7037

a b c (Å): 5.5685 5.5685 5.7549
angles (deg): 90.00 90.00 90.00
Element x y z (fractional)
Hf 0.0000 0.0000 0.0000
Co 0.5000 0.5000 0.5000
Sb 0.0000 0.0000 0.5000
I 0.0000 0.5000 0.0000
I 0.5000 0.0000 0.0000

---

Entry 2:
A geometry-optimized HfCoSbI2 structure, computed with PBE.

Values from the calculation:
Uncorrected formation energy in eV/atom: 0.6619

a b c (Å): 5.0238 5.0238 5.1164
angles (deg): 90.00 90.00 90.00
Element x y z (fractional)
Hf 0.0000 0.0000 0.0000
Co 0.5000 0.5000 0.5000
Sb 0.5000 0.5000 0.0000
I 0.0000 0.5000 0.5000
I 0.5000 0.0000 0.5000

---

Entry 3:
A geometry-optimized HfZr2CoI structure, computed with PBE.

Values from the calculation:
Uncorrected formation energy in eV/atom: 0.6488

a b c (Å): 4.9044 4.9044 4.7431
angles (deg): 90.00 90.00 90.00
Element x y z (fractional)
Hf 0.0000 0.0000 0.0000
Zr 0.0000 0.5000 0.5000
Zr 0.5000 0.0000 0.5000
Co 0.5000 0.5000 0.5000
I 0.5000 0.5000 0.0000

---

Entry 4:
A geometry-optimized Hf6InCo structure, computed with PBE.

Values from the calculation:
Formation energy in eV/atom: -0.0495

a b c (Å): 5.6763 5.6763 5.7591
angles (deg): 95.12 95.12 115.50
Element x y z (fractional)
Hf 0.0986 0.6641 0.7438
Hf 0.2401 0.2401 0.9239
Hf 0.3359 0.9014 0.2562
Hf 0.6641 0.0986 0.7438
Hf 0.7599 0.7599 0.0761
Hf 0.9014 0.3359 0.2562
In 0.5000 0.5000 0.5000
Co 0.0000 0.0000 0.5000

---

Entry 5:
A geometry-optimized Hf2In2Co structure, computed with PBE.

Values from the calculation:
Formation energy in eV/atom: 0.0998

a b c (Å): 6.7929 6.7929 4.3823
angles (deg): 90.00 90.00 90.00
Element x y z (fractional)
Hf 0.1662 0.3338 0.0000
Hf 0.3338 0.8338 0.0000
Hf 0.6662 0.1662 0.0000
Hf 0.8338 0.6662 0.0000
In 0.1454 0.6454 0.5000
In 0.3546 0.1454 0.5000
In 0.6454 0.8546 0.5000
In 0.8546 0.3546 0.5000
Co 0.0000 0.0000 0.5000
Co 0.5000 0.5000 0.5000

---

Entry 6:
A geometry-optimized HfIn2Co structure, computed with PBE.

Values from the calculation:
Formation energy in eV/atom: 0.2565

a b c (Å): 6.0752 6.0752 6.0752
angles (deg): 101.99 101.99 125.78
Element x y z (fractional)
Hf 0.0000 0.0000 0.0000
Hf 0.7500 0.2500 0.5000
In 0.1752 0.6250 0.0502
In 0.3750 0.4252 0.5502
In 0.5748 0.1250 0.9498
In 0.8750 0.8248 0.4498
Co 0.2500 0.7500 0.5000
Co 0.5000 0.5000 0.0000

---

no.,spin magnetization (μB/atom)
1,0.5224
2,0.0676
3,0.0000
4,0.1343
5,0.1796
6,0.0000